[1]
Material: CsRbHg2Bi
Method: DFT, PBE
State: relaxed

It has space group Imm2 (No. 44), with a = 5.121 Å, b = 5.780 Å, c = 16.270 Å, α = 90.00°, β = 90.00° and γ = 90.00°. The inequivalent atoms are Cs at (0.000, 0.000, 0.000), Rb at (0.000, 0.500, 0.746), Hg at (0.000, 0.000, 0.409), Hg at (0.000, 0.500, 0.199) and Bi at (0.000, 0.000, 0.598).

The value obtained for the total magnetic moment is 0.0 μB per cell. The calculation puts the energy of formation at -255 meV/atom.

---

[2]
Material: Cs4Rb2HgBi2
Method: DFT, PBE
State: relaxed

It has space group C2/m (No. 12), with a = 15.299 Å, b = 11.928 Å, c = 6.120 Å, α = 90.00°, β = 100.22° and γ = 90.00°. The inequivalent atoms are Cs at (0.133, 0.211, 0.203), Rb at (0.138, 0.500, 0.720), Hg at (0.000, 0.000, 0.500) and Bi at (0.188, 0.000, 0.712).

The value obtained for the total magnetic moment is 0.0 μB per cell. The calculation puts the energy of formation at -261 meV/atom.

---

Question: Among the records above, which one has the highest energy of formation?
Answer: CsRbHg2Bi